(one)
# KOsCl6 | Alexandria via LeMat-Bulk | PBE | optimized geometry
data_KOsCl6
_symmetry_space_group_name_H-M 'C 1 2/c 1'
_symmetry_Int_Tables_number 15
_symmetry_space_group_name_Hall '-C 2yc'
_cell_length_a 10.0685
_cell_length_b 9.1365
_cell_length_c 10.9321
_cell_angle_alpha 90.00
_cell_angle_beta 92.35
_cell_angle_gamma 90.00
loop_
_atom_site_label
_atom_site_type_symbol
_atom_site_fract_x
_atom_site_fract_y
_atom_site_fract_z
K1 K 0.0000 0.0201 0.2500
Os1 Os 0.2500 0.2500 0.5000
Cl1 Cl 0.0335 0.3069 0.4393
Cl2 Cl 0.1943 0.0022 0.5056
Cl3 Cl 0.1971 0.2756 0.7042
# magnetization = 12.0 μB/cell

(two)
# KOsCl6 | Alexandria via LeMat-Bulk | PBE | optimized geometry
data_KOsCl6
_symmetry_space_group_name_H-M 'P -1'
_symmetry_Int_Tables_number 2
_symmetry_space_group_name_Hall '-P 1'
_cell_length_a 6.7691
_cell_length_b 6.7859
_cell_length_c 7.3300
_cell_angle_alpha 90.11
_cell_angle_beta 117.38
_cell_angle_gamma 119.87
loop_
_atom_site_label
_atom_site_type_symbol
_atom_site_fract_x
_atom_site_fract_y
_atom_site_fract_z
K1 K 0.0000 0.0000 0.0000
Os1 Os 0.0000 0.5000 0.5000
Cl1 Cl 0.1656 0.4941 0.2857
Cl2 Cl 0.2082 0.3298 0.7152
Cl3 Cl 0.3840 0.8777 0.7153
# magnetization = 3.0 μB/cell

Question: which arrangement is favored energetically? Ranking from most to least stable: (one), (two).

(one)
# KOs2Cl2 | Alexandria via LeMat-Bulk | PBE | optimized geometry
data_KOs2Cl2
_symmetry_space_group_name_H-M 'I 4/m m m'
_symmetry_Int_Tables_number 139
_symmetry_space_group_name_Hall '-I 4 2'
_cell_length_a 3.5504
_cell_length_b 3.5504
_cell_length_c 18.1277
_cell_angle_alpha 90.00
_cell_angle_beta 90.00
_cell_angle_gamma 90.00
loop_
_atom_site_label
_atom_site_type_symbol
_atom_site_fract_x
_atom_site_fract_y
_atom_site_fract_z
K1 K 0.0000 0.0000 0.0000
Os1 Os 0.0000 0.5000 0.2500
Cl1 Cl 0.0000 0.0000 0.3961
# magnetization = 4.1 μB/cell
# N(E_F) = 0.58 states/eV/atom

(two)
# KOs2Cl2 | Alexandria via LeMat-Bulk | PBE | optimized geometry
data_KOs2Cl2
_symmetry_space_group_name_H-M 'P 4/m b m'
_symmetry_Int_Tables_number 127
_symmetry_space_group_name_Hall '-P 4 2ab'
_cell_length_a 9.0183
_cell_length_b 9.0183
_cell_length_c 2.9525
_cell_angle_alpha 90.00
_cell_angle_beta 90.00
_cell_angle_gamma 90.00
loop_
_atom_site_label
_atom_site_type_symbol
_atom_site_fract_x
_atom_site_fract_y
_atom_site_fract_z
K1 K 0.0000 0.0000 0.0000
Os1 Os 0.0873 0.4127 0.5000
Cl1 Cl 0.2449 0.2551 0.0000
# magnetization = 0.5 μB/cell
# N(E_F) = 1.03 states/eV/atom

Question: which arrangement is favored energetically? Ranking from most to least stable: (one), (two).

(one)
# KOsSCl2 | Alexandria via LeMat-Bulk | PBE | optimized geometry
data_KOsSCl2
_symmetry_space_group_name_H-M 'P 4/m m m'
_symmetry_Int_Tables_number 123
_symmetry_space_group_name_Hall '-P 4 2'
_cell_length_a 5.1737
_cell_length_b 5.1737
_cell_length_c 4.4047
_cell_angle_alpha 90.00
_cell_angle_beta 90.00
_cell_angle_gamma 90.00
loop_
_atom_site_label
_atom_site_type_symbol
_atom_site_fract_x
_atom_site_fract_y
_atom_site_fract_z
K1 K 0.0000 0.0000 0.0000
Os1 Os 0.5000 0.5000 0.5000
S1 S 0.5000 0.5000 0.0000
Cl1 Cl 0.0000 0.5000 0.5000
# magnetization = 0.0 μB/cell
# N(E_F) = 0.76 states/eV/atom

(two)
# KOsSCl2 | Alexandria via LeMat-Bulk | PBE | optimized geometry
data_KOsSCl2
_symmetry_space_group_name_H-M 'P 4/m m m'
_symmetry_Int_Tables_number 123
_symmetry_space_group_name_Hall '-P 4 2'
_cell_length_a 5.5297
_cell_length_b 5.5297
_cell_length_c 5.6589
_cell_angle_alpha 90.00
_cell_angle_beta 90.00
_cell_angle_gamma 90.00
loop_
_atom_site_label
_atom_site_type_symbol
_atom_site_fract_x
_atom_site_fract_y
_atom_site_fract_z
K1 K 0.0000 0.0000 0.0000
Os1 Os 0.5000 0.5000 0.5000
S1 S 0.0000 0.0000 0.5000
Cl1 Cl 0.0000 0.5000 0.0000
# magnetization = 3.3 μB/cell
# N(E_F) = 1.66 states/eV/atom

Question: which arrangement is favored energetically? Ranking from most to least stable: (one), (two).

(one)
# K2PCl | Alexandria via LeMat-Bulk | PBE | optimized geometry
data_K2PCl
_symmetry_space_group_name_H-M 'I m m 2'
_symmetry_Int_Tables_number 44
_symmetry_space_group_name_Hall 'I 2 -2'
_cell_length_a 3.6482
_cell_length_b 3.7147
_cell_length_c 18.1685
_cell_angle_alpha 90.00
_cell_angle_beta 90.00
_cell_angle_gamma 90.00
loop_
_atom_site_label
_atom_site_type_symbol
_atom_site_fract_x
_atom_site_fract_y
_atom_site_fract_z
K1 K 0.0000 0.0000 0.0000
K2 K 0.0000 0.5000 0.2266
P1 P 0.0000 0.5000 0.8462
Cl1 Cl 0.0000 0.0000 0.5913
# magnetization = 0.5 μB/cell
# N(E_F) = 0.61 states/eV/atom

(two)
# K2PCl | Alexandria via LeMat-Bulk | PBE | optimized geometry
data_K2PCl
_symmetry_space_group_name_H-M 'C 1 m 1'
_symmetry_Int_Tables_number 8
_symmetry_space_group_name_Hall 'C -2y'
_cell_length_a 12.5523
_cell_length_b 4.1747
_cell_length_c 5.0893
_cell_angle_alpha 90.00
_cell_angle_beta 92.49
_cell_angle_gamma 90.00
loop_
_atom_site_label
_atom_site_type_symbol
_atom_site_fract_x
_atom_site_fract_y
_atom_site_fract_z
K1 K 0.0000 0.0000 0.0000
K2 K 0.2448 0.0000 0.5027
P1 P 0.0141 0.5000 0.5033
Cl1 Cl 0.2456 0.5000 0.9984
# magnetization = 4.0 μB/cell
# N(E_F) = 0.48 states/eV/atom

Question: which arrangement is favored energetically? Ranking from most to least stable: (one), (two).